(1)
# CuAgBAu2

CuAgBAu2 after structural relaxation (PBE-GGA, Alexandria via LeMat-Bulk).

Cell and atoms, written as POSCAR:
```
CuAgBAu2
1.0
5.117 0.000 0.000
0.000 4.744 0.000
0.000 0.000 5.117
Cu Ag Au B
1 1 2 1
direct
0.000 0.500 0.000
0.000 0.000 0.000
0.500 0.000 0.000
0.000 0.000 0.500
0.500 0.500 0.500
```

Values from the calculation:
Final energy   -11.70 eV/cell
V   24.84 Å³ per atom
DFT formation energy   1.696 eV per atom



(2)
# AgBIr2Au

AgBIr2Au after structural relaxation (PBE-GGA, Alexandria via LeMat-Bulk).

Cell and atoms, written as POSCAR:
```
AgBIr2Au
1.0
4.943 0.000 0.000
0.000 3.861 0.000
0.000 0.000 4.943
Au Ir B Ag
1 2 1 1
direct
0.500 0.500 0.500
0.000 0.000 0.500
0.500 0.000 0.000
0.000 0.500 0.000
0.000 0.000 0.000
```

Values from the calculation:
Final energy   -19.96 eV/cell
V   18.86 Å³ per atom
DFT formation energy   2.115 eV per atom



(3)
# AgBPt2Au

AgBPt2Au after structural relaxation (PBE-GGA, Alexandria via LeMat-Bulk).

Cell and atoms, written as POSCAR:
```
AgBPt2Au
1.0
4.139 0.000 0.000
0.000 4.139 0.000
0.000 0.000 4.562
Au Ag B Pt
1 1 1 2
direct
0.500 0.500 0.500
0.000 0.000 0.500
0.000 0.000 0.000
0.500 0.000 0.000
0.000 0.500 0.000
```

Values from the calculation:
Final energy   -24.76 eV/cell
V   15.63 Å³ per atom
DFT formation energy   0.025 eV per atom
Offset from the most stable computed form   0.16 eV/f.u.



(4)
# AgBPt2Au

AgBPt2Au after structural relaxation (PBE-GGA, Alexandria via LeMat-Bulk).

Cell and atoms, written as POSCAR:
```
AgBPt2Au
1.0
-1.026 -4.030 0.212
0.611 -0.372 -4.102
4.334 -1.065 0.742
Ag Pt Au B
1 2 1 1
direct
0.500 0.500 0.500
0.000 0.500 0.000
0.500 0.000 0.000
0.000 0.000 0.500
0.000 0.000 0.000
```

Values from the calculation:
Final energy   -24.92 eV/cell
V   15.69 Å³ per atom
DFT formation energy   -0.007 eV per atom
Offset from the most stable computed form   0.00 eV/f.u.



(5)
# RbAgB2Au

RbAgB2Au after structural relaxation (PBE-GGA, Alexandria via LeMat-Bulk).

Cell and atoms, written as POSCAR:
```
RbAgB2Au
1.0
4.323 0.000 0.000
0.000 6.689 0.000
0.000 0.000 4.323
Au Rb Ag B
1 1 1 2
direct
0.500 0.500 0.500
0.000 0.500 0.000
0.000 0.000 0.000
0.500 0.000 0.000
0.000 0.000 0.500
```

Values from the calculation:
Final energy   -13.32 eV/cell
V   25.01 Å³ per atom
DFT formation energy   1.427 eV per atom



(6)
# AgSnB2Au

AgSnB2Au after structural relaxation (PBE-GGA, Alexandria via LeMat-Bulk).

Cell and atoms, written as POSCAR:
```
AgSnB2Au
1.0
-2.032 -3.853 0.840
4.477 -2.661 -1.373
1.397 0.180 4.207
B Ag Sn Au
2 1 1 1
direct
0.000 0.000 0.500
0.500 0.000 0.000
0.500 0.500 0.500
0.000 0.000 0.000
0.000 0.500 0.000
```

Values from the calculation:
Final energy   -15.50 eV/cell
V   21.20 Å³ per atom
DFT formation energy   1.598 eV per atom



(7)
# ZrAgB2Au

ZrAgB2Au after structural relaxation (PBE-GGA, Alexandria via LeMat-Bulk).

Cell and atoms, written as POSCAR:
```
ZrAgB2Au
1.0
4.173 0.000 0.000
0.000 5.028 0.000
0.000 0.000 4.173
B Ag Zr Au
2 1 1 1
direct
0.000 0.000 0.500
0.500 0.000 0.000
0.000 0.500 0.000
0.500 0.500 0.500
0.000 0.000 0.000
```

Values from the calculation:
Final energy   -22.10 eV/cell
V   17.51 Å³ per atom
DFT formation energy   1.186 eV per atom



(8)
# Ba8AgAu5

Ba8AgAu5 after structural relaxation (PBE-GGA, Alexandria via LeMat-Bulk).

Cell and atoms, written as POSCAR:
```
Ba8AgAu5
1.0
-1.348 -5.792 6.579
5.478 -3.571 -5.990
3.622 7.413 3.251
Au Ag Ba
5 1 8
direct
0.876 0.877 0.251
0.002 0.376 0.124
0.749 0.624 0.626
0.500 0.000 0.500
0.374 0.123 0.998
0.250 0.500 0.750
0.630 0.880 0.878
0.626 0.373 0.875
0.122 0.752 0.002
0.250 0.248 0.370
0.125 0.751 0.498
0.502 0.627 0.253
0.998 0.120 0.750
0.747 0.249 0.374
```

Values from the calculation:
Final energy   -42.48 eV/cell
V   38.35 Å³ per atom
DFT formation energy   -0.562 eV per atom



(9)
# Ba3Ag2Au3

Ba3Ag2Au3 after structural relaxation (PBE-GGA, Alexandria via LeMat-Bulk).

Cell and atoms, written as POSCAR:
```
Ba3Ag2Au3
1.0
-0.245 -4.709 -1.107
3.256 3.377 -4.488
14.526 -2.748 8.471
Ag Au Ba
4 6 6
direct
0.182 0.365 0.112
0.818 0.635 0.612
0.182 0.365 0.388
0.818 0.635 0.888
0.596 0.192 0.049
0.678 0.356 0.750
0.322 0.644 0.250
0.596 0.192 0.451
0.404 0.808 0.951
0.404 0.808 0.549
0.609 0.218 0.250
0.115 0.229 0.906
0.885 0.771 0.406
0.115 0.229 0.594
0.885 0.771 0.094
0.391 0.782 0.750
```

Values from the calculation:
Final energy   -51.60 eV/cell
V   31.07 Å³ per atom
DFT formation energy   -0.562 eV per atom



(10)
# Ba2AgAu7

Ba2AgAu7 after structural relaxation (PBE-GGA, Alexandria via LeMat-Bulk).

Cell and atoms, written as POSCAR:
```
Ba2AgAu7
1.0
4.518 0.000 0.000
0.000 4.518 0.000
0.000 0.000 12.228
Au Ba Ag
7 2 1
direct
0.000 0.000 0.500
0.000 0.000 0.000
0.500 0.000 0.139
0.000 0.500 0.640
0.500 0.000 0.360
0.000 0.500 0.861
0.500 0.500 0.500
0.500 0.000 0.747
0.000 0.500 0.253
0.500 0.500 0.000
```

Values from the calculation:
Final energy   -34.03 eV/cell
V   24.96 Å³ per atom
DFT formation energy   -0.439 eV per atom



(11)
# Ba2Ag5Au12

Ba2Ag5Au12 after structural relaxation (PBE-GGA, Alexandria via LeMat-Bulk).

Cell and atoms, written as POSCAR:
```
Ba2Ag5Au12
1.0
7.382 0.136 0.769
0.707 7.350 0.769
0.147 0.136 7.421
Au Ag Ba
12 5 2
direct
0.655 0.153 0.655
0.655 0.655 0.153
0.345 0.847 0.345
0.300 0.700 0.000
0.153 0.655 0.655
0.000 0.700 0.300
0.700 0.000 0.300
0.000 0.300 0.700
0.847 0.345 0.345
0.700 0.300 0.000
0.300 0.000 0.700
0.345 0.345 0.847
0.903 0.903 0.903
0.097 0.097 0.097
0.500 0.000 0.000
0.000 0.000 0.500
0.000 0.500 0.000
0.344 0.344 0.344
0.656 0.656 0.656
```

Values from the calculation:
Final energy   -62.47 eV/cell
V   21.07 Å³ per atom
DFT formation energy   -0.265 eV per atom



(12)
# BaAg2Au

BaAg2Au after structural relaxation (PBE-GGA, Alexandria via LeMat-Bulk).

Cell and atoms, written as POSCAR:
```
BaAg2Au
1.0
4.820 -0.021 0.009
2.425 4.166 0.009
2.409 1.378 5.494
Ba Au Ag
1 1 2
direct
0.249 0.249 0.252
0.454 0.454 0.637
0.048 0.048 0.856
0.749 0.749 0.754
```

Values from the calculation:
Final energy   -12.28 eV/cell
V   27.62 Å³ per atom
DFT formation energy   -0.345 eV per atom
Offset from the most stable computed form   0.00 eV/f.u.



(13)
# Ba3AgAu3

Ba3AgAu3 after structural relaxation (PBE-GGA, Alexandria via LeMat-Bulk).

Cell and atoms, written as POSCAR:
```
Ba3AgAu3
1.0
4.651 0.000 -1.015
-0.223 4.407 -1.024
0.009 0.276 11.209
Ba Au Ag
3 3 1
direct
0.315 0.815 0.631
0.003 0.003 0.005
0.682 0.182 0.364
0.854 0.354 0.708
0.147 0.647 0.295
0.565 0.565 0.129
0.434 0.434 0.868
```

Values from the calculation:
Final energy   -22.80 eV/cell
V   33.03 Å³ per atom
DFT formation energy   -0.621 eV per atom



(14)
# Ba7AgAu5

Ba7AgAu5 after structural relaxation (PBE-GGA, Alexandria via LeMat-Bulk).

Cell and atoms, written as POSCAR:
```
Ba7AgAu5
1.0
4.727 0.000 0.000
-2.363 7.911 0.011
0.000 -0.028 28.174
Au Ba Ag
10 14 2
direct
0.456 0.912 0.855
0.275 0.550 0.429
0.545 0.090 0.145
0.545 0.089 0.355
0.456 0.911 0.645
0.726 0.451 0.929
0.725 0.450 0.571
0.275 0.551 0.071
0.001 0.001 0.000
0.000 0.000 0.500
0.550 0.100 0.750
0.636 0.273 0.037
0.819 0.637 0.825
0.182 0.365 0.175
0.364 0.728 0.537
0.451 0.901 0.250
0.089 0.179 0.608
0.911 0.822 0.108
0.818 0.636 0.674
0.636 0.271 0.463
0.365 0.730 0.964
0.910 0.821 0.392
0.182 0.364 0.325
0.090 0.180 0.892
0.211 0.422 0.750
0.790 0.580 0.250
```

Values from the calculation:
Final energy   -80.50 eV/cell
V   40.52 Å³ per atom
DFT formation energy   -0.581 eV per atom



(15)
# BaAgAu5

BaAgAu5 after structural relaxation (PBE-GGA, Alexandria via LeMat-Bulk).

Cell and atoms, written as POSCAR:
```
BaAgAu5
1.0
-3.613 -2.379 -3.822
-2.809 -6.069 6.434
-8.352 7.373 3.308
Au Ag Ba
20 4 4
direct
0.250 0.181 0.241
0.750 0.819 0.759
0.508 0.934 0.307
0.750 0.397 0.982
0.750 0.567 0.591
0.250 0.103 0.482
0.008 0.066 0.693
0.250 0.603 0.018
0.008 0.566 0.807
0.750 0.067 0.909
0.250 0.433 0.409
0.750 0.897 0.518
0.250 0.681 0.259
0.508 0.434 0.193
0.992 0.934 0.307
0.492 0.066 0.693
0.992 0.434 0.193
0.750 0.319 0.741
0.250 0.933 0.091
0.492 0.566 0.807
0.750 0.149 0.143
0.750 0.649 0.357
0.250 0.351 0.643
0.250 0.851 0.857
0.750 0.259 0.438
0.250 0.241 0.938
0.250 0.741 0.562
0.750 0.759 0.062
```

Values from the calculation:
Final energy   -94.22 eV/cell
V   22.23 Å³ per atom
DFT formation energy   -0.342 eV per atom



(16)
# BaAgAu2

BaAgAu2 after structural relaxation (PBE-GGA, Alexandria via LeMat-Bulk).

Cell and atoms, written as POSCAR:
```
BaAgAu2
1.0
-1.916 7.962 0.330
-0.550 -3.169 -3.909
-3.866 1.126 -0.383
Au Ag Ba
2 1 1
direct
0.000 0.000 0.000
0.500 0.000 0.500
0.500 0.500 0.000
0.000 0.500 0.500
```

Values from the calculation:
Final energy   -12.29 eV/cell
V   25.91 Å³ per atom
DFT formation energy   -0.240 eV per atom



(17)
# Ba2AgAu

Ba2AgAu after structural relaxation (PBE-GGA, Alexandria via LeMat-Bulk).

Cell and atoms, written as POSCAR:
```
Ba2AgAu
1.0
-2.533 -4.894 -3.662
0.783 -2.701 -5.989
3.414 -3.171 1.877
Ag Ba Au
1 2 1
direct
0.446 0.446 0.625
0.739 0.739 0.625
0.013 0.013 0.125
0.302 0.302 0.125
```

Values from the calculation:
Final energy   -11.93 eV/cell
V   35.88 Å³ per atom
DFT formation energy   -0.490 eV per atom



(18)
# Ba6AgAu5

Ba6AgAu5 after structural relaxation (PBE-GGA, Alexandria via LeMat-Bulk).

Cell and atoms, written as POSCAR:
```
Ba6AgAu5
1.0
5.510 -0.011 -1.548
-4.138 8.009 -4.162
-0.216 -1.173 9.857
Ag Au Ba
1 5 6
direct
0.000 0.000 0.000
0.500 0.500 0.500
0.000 0.667 0.333
0.500 0.163 0.837
0.000 0.333 0.667
0.500 0.837 0.163
0.748 0.916 0.579
0.252 0.084 0.421
0.245 0.745 0.745
0.748 0.579 0.916
0.755 0.255 0.255
0.252 0.421 0.084
```

Values from the calculation:
Final energy   -38.12 eV/cell
V   33.12 Å³ per atom
DFT formation energy   -0.612 eV per atom



(19)
# BaAgAu

BaAgAu after structural relaxation (PBE-GGA, Alexandria via LeMat-Bulk).

Cell and atoms, written as POSCAR:
```
BaAgAu
1.0
-3.354 -1.199 -3.350
0.926 -6.029 -2.326
-5.188 -2.917 2.681
Ag Au Ba
2 2 2
direct
0.479 0.237 0.908
0.479 0.908 0.237
0.980 0.742 0.403
0.980 0.403 0.742
0.727 0.325 0.325
0.232 0.820 0.820
```

Values from the calculation:
Final energy   -19.26 eV/cell
V   29.88 Å³ per atom
DFT formation energy   -0.527 eV per atom
Offset from the most stable computed form   0.02 eV/f.u.



(20)
# Ba2AgAu

Ba2AgAu after structural relaxation (PBE-GGA, Alexandria via LeMat-Bulk).

Cell and atoms, written as POSCAR:
```
Ba2AgAu
1.0
4.090 0.000 0.000
0.000 4.071 0.009
0.000 4.056 8.160
Ag Ba Au
1 2 1
direct
0.500 0.250 0.250
0.000 0.491 0.509
0.000 0.009 0.991
0.500 0.750 0.750
```

Values from the calculation:
Final energy   -11.82 eV/cell
V   33.93 Å³ per atom
DFT formation energy   -0.460 eV per atom



(21)
# Ba2Ag5Au5

Ba2Ag5Au5 after structural relaxation (PBE-GGA, Alexandria via LeMat-Bulk).

Cell and atoms, written as POSCAR:
```
Ba2Ag5Au5
1.0
-3.204 -2.302 -2.411
-2.851 -1.196 4.930
-5.468 8.710 -1.049
Au Ag Ba
5 5 2
direct
0.500 0.000 0.000
0.000 0.000 0.168
0.000 0.000 0.832
0.000 0.500 0.333
0.000 0.500 0.667
0.500 0.500 0.500
0.500 0.750 0.251
0.500 0.750 0.749
0.500 0.250 0.749
0.500 0.250 0.251
0.000 0.000 0.500
0.000 0.500 0.000
```

Values from the calculation:
Final energy   -38.57 eV/cell
V   23.18 Å³ per atom
DFT formation energy   -0.340 eV per atom